1.
SmTh2Co9 | PBE | relaxed

The structure belongs to space group R-3m (No. 166, hexagonal axes); the cell edges are 4.9866, 4.9866 and 25.0703 Å and the angles 90.00°, 90.00° and 120.00°. The inequivalent atoms are Sm at (0.0000, 0.0000, 0.0000), Th at (0.0000, 0.0000, 0.1372), Co at (0.0000, 0.0000, 0.3329), Co at (0.0000, 0.0000, 0.5000) and Co at (0.0019, 0.5010, 0.0795).

The energy of formation comes out at -151 meV/atom. Its size of the total moment is 8.38 μB/f.u.

---

2.
SmTh4Co4 | PBE | relaxed

The structure belongs to space group P4_2/n (No. 86, origin choice 2); the cell edges are 8.685, 8.685 and 5.577 Å and the angles 90.00°, 90.00° and 90.00°. The inequivalent atoms are Sm at (0.250, 0.250, 0.250), Th at (0.059, 0.660, 0.189) and Co at (0.045, 0.621, 0.679).

The energy of formation comes out at -224 meV/atom. Its size of the total moment is 0.00 μB/f.u.

---

3.
SmThCo4 | PBE | relaxed

The structure belongs to space group Pmmm (No. 47); the cell edges are 3.947, 4.008 and 6.810 Å and the angles 90.00°, 90.00° and 90.00°. The inequivalent atoms are Sm at (0.000, 0.000, 0.000), Th at (0.500, 0.000, 0.500), Co at (0.000, 0.500, 0.334) and Co at (0.500, 0.500, 0.169).

The energy of formation comes out at -166 meV/atom. The value obtained for the energy above the most stable polymorph in this dataset is 0.0 meV/atom. Its size of the total moment is 1.66 μB/f.u.

---

4.
Sm3ThCo8 | PBE | relaxed

The structure belongs to space group R3m (No. 160, hexagonal axes); the cell edges are 5.1283, 5.1283 and 25.1443 Å and the angles 90.00°, 90.00° and 120.00°. The inequivalent atoms are Sm at (0.0000, 0.0000, 0.0000), Sm at (0.0000, 0.0000, 0.1241), Sm at (0.0000, 0.0000, 0.4964), Th at (0.0000, 0.0000, 0.6224), Co at (0.0000, 0.0000, 0.3109), Co at (0.0000, 0.0000, 0.8104), Co at (0.0009, 0.5004, 0.5610) and Co at (0.1674, 0.3349, 0.3939).

The energy of formation comes out at -113 meV/atom. Its size of the total moment is 6.20 μB/f.u.

---

5.
SmTh2Co | PBE | relaxed

The structure belongs to space group P2_1/m (No. 11); the cell edges are 3.711, 9.805 and 6.219 Å and the angles 90.00°, 107.35° and 90.00°. The inequivalent atoms are Sm at (0.088, 0.250, 0.174), Th at (0.361, 0.067, 0.722) and Co at (0.199, 0.750, 0.398).

The energy of formation comes out at -171 meV/atom. The value obtained for the energy above the most stable polymorph in this dataset is 0.0 meV/atom. Its size of the total moment is 0.00 μB/f.u.

---

6.
SmTh2Co | PBE | relaxed

The structure belongs to space group P4/mmm (No. 123); the cell edges are 3.530, 3.530 and 8.672 Å and the angles 90.00°, 90.00° and 90.00°. The inequivalent atoms are Sm at (0.000, 0.000, 0.000), Th at (0.500, 0.500, 0.315) and Co at (0.000, 0.000, 0.500).

The energy of formation comes out at 0 meV/atom. The value obtained for the energy above the most stable polymorph in this dataset is 171.2 meV/atom. Its size of the total moment is 0.00 μB/f.u.

---

7.
SmThCo | PBE | relaxed

The structure belongs to space group P3m1 (No. 156); the cell edges are 3.8678, 3.8678 and 6.3162 Å and the angles 90.00°, 90.00° and 120.00°. The inequivalent atoms are Sm at (0.0000, 0.0000, 0.0000), Th at (0.3333, 0.6667, 0.4924) and Co at (0.6667, 0.3333, 0.2684).

The energy of formation comes out at -101 meV/atom. The value obtained for the energy above the most stable polymorph in this dataset is 29.3 meV/atom. Its size of the total moment is 0.00 μB/f.u.

---

8.
Sm4Th3Co2 | PBE | relaxed

The structure belongs to space group C2/m (No. 12); the cell edges are 17.243, 3.720 and 8.929 Å and the angles 90.00°, 116.17° and 90.00°. The inequivalent atoms are Sm at (0.120, 0.000, 0.381), Sm at (0.224, 0.500, 0.143), Th at (0.000, 0.500, 0.000), Th at (0.083, 0.500, 0.697) and Co at (0.086, 0.000, 0.910).

The energy of formation comes out at -132 meV/atom. Its size of the total moment is 0.00 μB/f.u.

---

9.
SmThCo | PBE | relaxed

The structure belongs to space group I4mm (No. 107); the cell edges are 3.527, 3.527 and 11.621 Å and the angles 90.00°, 90.00° and 90.00°. The inequivalent atoms are Sm at (0.000, 0.000, 0.000), Th at (0.000, 0.000, 0.284) and Co at (0.000, 0.000, 0.675).

The energy of formation comes out at -45 meV/atom. The value obtained for the energy above the most stable polymorph in this dataset is 85.0 meV/atom. Its size of the total moment is 0.00 μB/f.u.

---

10.
SmThCo2 | PBE | relaxed

The structure belongs to space group R-3m (No. 166, hexagonal axes); the cell edges are 3.8891, 3.8891 and 19.6352 Å and the angles 90.00°, 90.00° and 120.00°. The inequivalent atoms are Sm at (0.0000, 0.0000, 0.0000), Th at (0.0000, 0.0000, 0.5000) and Co at (0.0000, 0.0000, 0.2461).

The energy of formation comes out at -33 meV/atom. The value obtained for the energy above the most stable polymorph in this dataset is 179.6 meV/atom. Its size of the total moment is 0.00 μB/f.u.

---

11.
SmThCo2 | PBE | relaxed

The structure belongs to space group R3m (No. 160, hexagonal axes); the cell edges are 3.8432, 3.8432 and 20.3906 Å and the angles 90.00°, 90.00° and 120.00°. The inequivalent atoms are Sm at (0.0000, 0.0000, 0.0000), Th at (0.0000, 0.0000, 0.8271), Co at (0.0000, 0.0000, 0.2434) and Co at (0.0000, 0.0000, 0.4166).

The energy of formation comes out at 20 meV/atom. The value obtained for the energy above the most stable polymorph in this dataset is 232.9 meV/atom. Its size of the total moment is 0.00 μB/f.u.

---

12.
SmThCo2 | PBE | relaxed

The structure belongs to space group Fm-3m (No. 225); the cell edges are 6.864, 6.864 and 6.864 Å and the angles 90.00°, 90.00° and 90.00°. The inequivalent atoms are Sm at (0.000, 0.000, 0.000), Th at (0.000, 0.000, 0.500) and Co at (0.250, 0.250, 0.250).

The energy of formation comes out at -69 meV/atom. The value obtained for the energy above the most stable polymorph in this dataset is 144.0 meV/atom. Its size of the total moment is 0.00 μB/f.u.

---

- Look up the energy of formation of the second one.
  -224 meV/atom

---

- Which value of energy of formation does entry 3 give?
  -166 meV/atom

---

- What is the size of the total moment in the third record?
  1.66 μB/f.u.

---

- Which of these has the highest energy of formation?
  number 11